{"formula": "IrOsRu2", "functional": "PBEsol", "state": "optimized geometry", "lattice_angstrom": [[2.681, 0.000, 0.000], [0.000, 3.799, 0.000], [0.000, 0.000, 5.364]], "species": ["Ir", "Ru", "Os", "Ru"], "fractional_positions": [[0.000, 0.000, 0.499], [0.000, 0.000, 0.001], [0.500, 0.500, 0.754], [0.500, 0.500, 0.246]], "polymorph_energy_mev_per_atom": 10, "volume_a3_per_atom": 13.66, "ef_ev_per_atom": 0.045, "magmom_total_mub_per_fu": 0.000, "final_energy_ev_per_fu": -42.2}

=====

{"formula": "NdSiPd", "functional": "PBEsol", "state": "optimized geometry", "lattice_angstrom": [[-3.976, -1.407, 1.131], [0.879, -5.825, -4.161], [2.934, -3.666, 5.752]], "species": ["Pd", "Pd", "Si", "Nd", "Pd", "Si", "Pd", "Nd", "Nd", "Nd", "Si", "Si"], "fractional_positions": [[0.250, 0.687, 0.584], [0.250, 0.187, 0.916], [0.750, 0.688, 0.411], [0.750, 0.005, 0.696], [0.750, 0.313, 0.416], [0.250, 0.812, 0.911], [0.750, 0.813, 0.084], [0.750, 0.505, 0.804], [0.250, 0.495, 0.196], [0.250, 0.995, 0.304], [0.750, 0.188, 0.089], [0.250, 0.312, 0.589]], "volume_a3_per_atom": 19.49, "e_form_raw_ev_per_fu": -2.8, "magmom_total_mub_per_fu": 0.000, "final_energy_ev_per_fu": -19.7}